SrCrBiSbO6 | PBE+U | optimized geometry

- magnetization (μB per cell) = 3.28
- E_tot (eV per atom) = -6.36
- DOS at the Fermi energy (states/eV per cell) = 3.0

Cell lengths 5.699, 5.699, 5.699 Å; angles 60.00, 60.00, 60.00 degrees
Sites, in units of the cell vectors:
Sr: 0.750 0.750 0.750
Cr: 0.000 0.000 0.000
Bi: 0.250 0.250 0.250
Sb: 0.500 0.500 0.500
O: 0.251 0.749 0.251
O: 0.749 0.251 0.749
O: 0.251 0.749 0.749
O: 0.749 0.251 0.251
O: 0.251 0.251 0.749
O: 0.749 0.749 0.251